Entry 1:
The following is a DFT calculation (SCAN) of a PBEsol-optimized structure of LiCuF4.

a b c (Å): 7.262 7.331 9.857
angles (deg): 90.00 90.00 90.00
Last column: magnetic moment on the atom in μB.
Fractional coordinates of all 48 atoms:
Li  0.750  0.625  0.021  0.00
Li  0.250  0.375  0.979  0.00
F  0.446  0.630  0.289  -0.20
F  0.076  0.933  0.410  -0.19
F  0.077  0.339  0.430  -0.12
F  0.250  0.591  0.664  -0.20
Li  0.750  0.441  0.538  0.00
F  0.076  0.567  0.910  -0.19
Cu  0.503  0.379  0.257  -1.24
F  0.423  0.339  0.430  -0.12
F  0.424  0.567  0.910  -0.19
F  0.923  0.839  0.070  -0.12
Li  0.250  0.559  0.462  0.00
F  0.946  0.130  0.211  -0.20
F  0.750  0.649  0.812  -0.21
F  0.054  0.630  0.289  -0.20
F  0.923  0.661  0.570  -0.12
F  0.250  0.351  0.188  -0.21
F  0.750  0.091  0.836  -0.20
F  0.054  0.870  0.789  -0.20
Cu  0.003  0.879  0.243  -1.24
F  0.924  0.433  0.090  -0.19
F  0.250  0.909  0.164  -0.20
F  0.446  0.870  0.789  -0.20
Cu  0.503  0.121  0.757  -1.24
F  0.424  0.933  0.410  -0.19
F  0.577  0.661  0.570  -0.12
F  0.423  0.161  0.930  -0.12
Cu  0.497  0.621  0.743  -1.24
F  0.576  0.433  0.090  -0.19
F  0.946  0.370  0.711  -0.20
Li  0.250  0.125  0.479  0.00
Cu  0.003  0.621  0.743  -1.24
F  0.750  0.851  0.312  -0.21
Cu  0.997  0.379  0.257  -1.24
F  0.554  0.130  0.211  -0.20
F  0.750  0.409  0.336  -0.20
Cu  0.997  0.121  0.757  -1.24
F  0.077  0.161  0.930  -0.12
Li  0.750  0.875  0.521  0.00
F  0.577  0.839  0.070  -0.12
F  0.250  0.149  0.688  -0.21
F  0.554  0.370  0.711  -0.20
F  0.576  0.067  0.590  -0.19
Cu  0.497  0.879  0.243  -1.24
F  0.924  0.067  0.590  -0.19
Li  0.750  0.059  0.038  0.00
Li  0.250  0.941  0.962  0.00

---

Entry 2:
The following is a DFT calculation (SCAN) of a PBEsol-optimized structure of HfTcNO2.

a b c (Å): 3.908 3.772 3.772
angles (deg): 90.00 90.00 90.00
Fractional coordinates of all 5 atoms:
Tc  0.000  0.000  0.000
O  0.000  0.500  0.000
O  0.000  0.000  0.500
Hf  0.500  0.500  0.500
N  0.500  0.000  0.000

---

Entry 3:
The following is a DFT calculation (SCAN) of a PBEsol-optimized structure of Zn2SbAu2.

a b c (Å): 3.771 3.771 6.940
angles (deg): 105.77 105.77 90.00
Fractional coordinates of all 5 atoms:
Au  0.609  0.609  0.217
Sb  0.000  0.000  0.000
Zn  0.250  0.750  0.500
Au  0.391  0.391  0.783
Zn  0.750  0.250  0.500

---

Entry 4:
The following is a DFT calculation (SCAN) of a PBEsol-optimized structure of Zr2AlSe.

a b c (Å): 3.858 3.858 5.410
angles (deg): 90.00 90.00 90.00
Fractional coordinates of all 4 atoms:
Se  0.500  0.500  0.500
Al  0.000  0.000  0.000
Zr  0.500  0.500  0.000
Zr  0.000  0.000  0.500

---

Asked for final energy across the records above, the calculation gives -7.363 -24.735 -40.672 -23.056 eV per atom in order.
Asked for size of the total moment across the records above, the calculation gives 1.977 0.004 0.000 0.000 μB/f.u. in order.